# 1
10
Lattice="0.000 4.477 4.477 4.477 0.000 4.477 4.477 4.477 0.000" Properties=species:S:1:pos:R:3 comment="PBE-GGA Rb2LaUO6, optimized geometry" m_tot_mub_per_cell=0.01 n_ef_per_ev_atom=1.218 energy_ev_per_atom=-7.44 sg="Fm-3m, No. 225" pbc="T T T"
Rb 2.238 2.238 2.238
Rb 6.715 6.715 6.715
La 0.000 0.000 0.000
U 4.477 4.477 4.477
O 4.477 4.477 2.403
O 4.477 2.403 4.477
O 6.551 4.477 4.477
O 2.403 4.477 4.477
O 4.477 6.551 4.477
O 4.477 4.477 6.551

# 2
5
Lattice="5.466 0.000 0.000 0.000 5.466 0.000 0.000 0.000 5.466" Properties=species:S:1:pos:R:3 comment="PBE-GGA NaAgBr3, optimized geometry" m_tot_mub_per_cell=1.00 polymorph_energy_ev_per_atom=0.521 n_ef_per_ev_atom=1.192 energy_ev_per_atom=-2.05 sg="Pm-3m, No. 221" pbc="T T T"
Na 0.000 0.000 0.000
Ag 2.733 2.733 2.733
Br 0.000 0.000 2.733
Br 0.000 2.733 0.000
Br 2.733 0.000 0.000

# 3
10
Lattice="1.801 -13.770 0.000 1.801 13.770 0.000 0.000 0.000 4.548" Properties=species:S:1:pos:R:3 comment="PBE-GGA SmTmAl3, optimized geometry" m_tot_mub_per_cell=0.58 n_ef_per_ev_atom=0.617 energy_ev_per_atom=-4.53 formation_energy_ev_per_atom=-0.447 sg="Cmcm, No. 63" pbc="T T T"
Sm 1.801 11.762 3.411
Sm 1.801 -11.762 1.137
Tm 1.801 7.930 1.137
Tm 1.801 -7.930 3.411
Al 1.801 4.781 1.137
Al 1.801 3.329 3.411
Al 1.801 0.668 3.411
Al 1.801 -0.668 1.137
Al 1.801 -3.329 1.137
Al 1.801 -4.781 3.411

# 4
19
Lattice="6.157 3.555 4.131 -6.157 3.555 4.131 0.000 -7.109 4.131" Properties=species:S:1:pos:R:3 comment="PBE-GGA Ce12Pt6Rh, optimized geometry" m_tot_mub_per_cell=11.34 n_ef_per_ev_atom=3.592 energy_ev_per_atom=-6.68 formation_energy_ev_per_atom=-0.636 sg="R-3, No. 148" pbc="T T T"
Ce -5.693 -1.279 6.748
Ce -1.739 -5.570 5.644
Ce -2.431 -0.255 4.935
Ce -3.955 4.291 5.644
Ce -0.994 -2.233 7.457
Ce 1.437 -1.978 4.935
Ce -1.437 1.978 7.457
Ce 0.994 2.233 4.935
Ce 3.955 -4.291 6.748
Ce 2.431 0.255 7.457
Ce 1.739 5.570 6.748
Ce 5.693 1.279 5.644
Pt -1.179 -2.903 4.439
Pt -1.925 2.473 4.439
Pt -3.104 -0.430 7.953
Pt 3.104 0.430 4.439
Pt 1.925 -2.473 7.953
Pt 1.179 2.903 7.953
Rh 0.000 0.000 0.000